Compound: InGeCl3
Source: the Alexandria database
Functional: PBE-GGA
Structure: optimized geometry

```
InGeCl3
1.0
5.9455 -6.6679 0.0000
5.9455 6.6679 0.0000
-1.7759 0.0000 7.9968
In Ge Cl
4 4 12
direct
0.0594 0.9406 0.7500
0.3440 0.6560 0.2500
0.6560 0.3440 0.7500
0.9406 0.0594 0.2500
0.2016 0.4976 0.6857
0.4976 0.2016 0.1857
0.5024 0.7984 0.8143
0.7984 0.5024 0.3143
0.0105 0.6958 0.4036
0.0801 0.6442 0.8801
0.3042 0.9895 0.0964
0.3275 0.3670 0.8837
0.3558 0.9199 0.6199
0.3670 0.3275 0.3837
0.6330 0.6725 0.6163
0.6442 0.0801 0.3801
0.6725 0.6330 0.1163
0.6958 0.0105 0.9036
0.9199 0.3558 0.1199
0.9895 0.3042 0.5964
```

The calculation puts the density of states at the Fermi level at 0.0 states/eV/cell. The total energy comes out at -67.8 eV for the cell shown. Its volume is 634.1 Å³ per cell. The raw formation energy is -0.8112 eV/atom. The value obtained for the mass density is 3.08 g/cm3. The value obtained for the total magnetic moment is 0.00 μB/f.u.

Compound: Ti2Ga2Ni3
Source: the Alexandria database
Functional: PBE-GGA
Structure: optimized geometry

```
Ti2Ga2Ni3
1.0
3.5345 -2.0429 0.0000
3.5345 2.0429 0.0000
-2.3474 0.0000 6.9622
Ti Ga Ni
2 2 3
direct
0.1235 0.1235 0.3699
0.8765 0.8765 0.6301
0.3788 0.3788 0.1359
0.6212 0.6212 0.8641
0.0000 0.0000 0.0000
0.2450 0.2450 0.7352
0.7550 0.7550 0.2648
```

The calculation puts the density of states at the Fermi level at 3.8 states/eV/cell. For the energy relative to the elements, the calculation gives -0.337 eV/atom. The total energy comes out at -41.5 eV for the cell shown. Its volume is 100.5 Å³ per cell. The value obtained for the mass density is 6.79 g/cm3. The value obtained for the total magnetic moment is 0.00 μB/f.u.

Compound: La3SiRu
Source: the Alexandria database
Functional: PBE-GGA
Structure: optimized geometry

```
La3SiRu
1.0
5.3873 0.0000 0.0000
0.0000 5.3873 0.0000
0.0000 0.0000 5.3873
La Si Ru
3 1 1
direct
0.0000 0.0000 0.5000
0.0000 0.5000 0.0000
0.5000 0.0000 0.0000
0.5000 0.5000 0.5000
0.0000 0.0000 0.0000
```

The calculation puts the density of states at the Fermi level at 2.9 states/eV/cell. The total energy comes out at -30.4 eV for the cell shown. Its volume is 156.4 Å³ per cell. The raw formation energy is -0.1827 eV/atom. The value obtained for the mass density is 5.80 g/cm3. For the energy above the most stable polymorph in this dataset, the calculation gives 0.00 kcal/mol of atoms. The value obtained for the total magnetic moment is 0.00 μB/f.u.